Entry 1:
CdGaAg2 after structural relaxation, computed with PBE.

For the formation enthalpy at 0 K, the calculation gives 0.006 eV per atom.

The structure belongs to space group Pmm2 (No. 25); the cell edges are 3.094, 4.080 and 5.927 Å and the angles 90.00°, 90.00° and 90.00°. Symmetry generates all atoms from Cd at (0.000, 0.000, 0.000), Ga at (0.500, 0.500, 0.721), Ag at (0.000, 0.000, 0.499) and Ag at (0.500, 0.500, 0.245).

Entry 2:
Cd5GaAg2 after structural relaxation, computed with PBE.

For the formation enthalpy at 0 K, the calculation gives 0.048 eV per atom.

The structure belongs to space group I4/mcm (No. 140); the cell edges are 7.511, 7.511 and 12.091 Å and the angles 90.00°, 90.00° and 90.00°. Symmetry generates all atoms from Cd at (0.000, 0.000, 0.000), Cd at (0.154, 0.346, 0.159), Ga at (0.000, 0.000, 0.250) and Ag at (0.138, 0.362, 0.500).

Entry 3:
Cd6GaAg8 after structural relaxation, computed with PBE.

For the formation enthalpy at 0 K, the calculation gives 0.031 eV per atom.

The structure belongs to space group P-31m (No. 162); the cell edges are 7.9419, 7.9419 and 5.6928 Å and the angles 90.00°, 90.00° and 120.00°. Symmetry generates all atoms from Cd at (0.0000, 0.3723, 0.1678), Ga at (0.0000, 0.0000, 0.0000), Ag at (0.0000, 0.2833, 0.6615) and Ag at (0.3333, 0.6667, 0.5000).

Entry 4:
Cd4GaAg2 after structural relaxation, computed with PBE.

For the formation enthalpy at 0 K, the calculation gives 0.030 eV per atom.

The structure belongs to space group P2_1/m (No. 11); the cell edges are 7.429, 5.790 and 7.667 Å and the angles 90.00°, 118.08° and 90.00°. Symmetry generates all atoms from Cd at (0.105, 0.250, 0.074), Cd at (0.124, 0.502, 0.728), Cd at (0.273, 0.750, 0.302), Ga at (0.473, 0.750, 0.706), Ag at (0.285, 0.250, 0.500) and Ag at (0.479, 0.750, 0.063).

Entry 5:
Cd5GaAg4 after structural relaxation, computed with PBE.

For the formation enthalpy at 0 K, the calculation gives -0.025 eV per atom.

The structure belongs to space group P4/mmm (No. 123); the cell edges are 3.509, 3.509 and 15.879 Å and the angles 90.00°, 90.00° and 90.00°. Symmetry generates all atoms from Cd at (0.000, 0.000, 0.000), Cd at (0.000, 0.000, 0.200), Cd at (0.000, 0.000, 0.399), Ga at (0.500, 0.500, 0.500), Ag at (0.500, 0.500, 0.100) and Ag at (0.500, 0.500, 0.300).

Entry 6:
Cd3GaAg after structural relaxation, computed with PBE.

For the formation enthalpy at 0 K, the calculation gives 0.389 eV per atom.

The structure belongs to space group Pm-3m (No. 221); the cell edges are 5.165, 5.165 and 5.165 Å and the angles 90.00°, 90.00° and 90.00°. Symmetry generates all atoms from Cd at (0.000, 0.000, 0.500), Ga at (0.000, 0.000, 0.000) and Ag at (0.500, 0.500, 0.500).

Question: Number 2 is which compound?
Answer: Cd5GaAg2